[1]
Material: Gd2Co4C
Method: DFT, PBE-GGA
State: relaxed

Calculated values
Calculated formation energy (kcal/mol of atoms): -1.298
VASP energy (Ry per atom): -0.6951

Unit cell a=7.874 b=7.874 c=7.874 alpha=151.90 beta=151.90 gamma=40.16
Sites, in units of the cell vectors:
Gd: 0.163 0.163 0.000
Gd: 0.837 0.837 0.000
Co: 0.000 0.500 0.500
Co: 0.376 0.376 0.000
Co: 0.500 0.000 0.500
Co: 0.624 0.624 0.000
C: 0.500 0.500 0.000


[2]
Material: SrHfCr2H
Method: DFT, PBE-GGA
State: relaxed

Calculated values
VASP energy (Ry per atom): -0.4395

Unit cell a=5.469 b=5.469 c=3.754 alpha=90.00 beta=90.00 gamma=90.00
Sites, in units of the cell vectors:
Sr: 0.000 0.000 0.000
Hf: 0.500 0.500 0.500
Cr: 0.000 0.500 0.500
Cr: 0.500 0.000 0.500
H: 0.500 0.500 0.000


[3]
Material: Pu2PaOs2
Method: DFT, PBE-GGA
State: relaxed

Calculated values
Calculated formation energy (kcal/mol of atoms): 0.684
VASP energy (Ry per atom): -0.8889

Unit cell a=5.282 b=5.282 c=5.282 alpha=128.00 beta=102.85 gamma=99.32
Sites, in units of the cell vectors:
Pu: 0.213 0.213 0.000
Pu: 0.787 0.787 0.000
Pa: 0.500 0.000 0.500
Os: 0.199 0.500 0.699
Os: 0.801 0.500 0.301


[4]
Material: HgPO2F
Method: DFT, PBE-GGA
State: relaxed

Calculated values
Formation energy from raw total energies (eV/atom): 0.820
VASP energy (Ry per atom): -0.1970

Unit cell a=4.055 b=4.055 c=5.581 alpha=90.00 beta=90.00 gamma=90.00
Sites, in units of the cell vectors:
Hg: 0.000 0.000 0.000
P: 0.000 0.000 0.500
O: 0.000 0.500 0.000
O: 0.500 0.000 0.000
F: 0.500 0.500 0.500


[5]
Material: La2FeAg
Method: DFT, PBE-GGA
State: relaxed

Calculated values
Calculated formation energy (kcal/mol of atoms): 3.083
VASP energy (Ry per atom): -0.3791

Unit cell a=8.175 b=8.175 c=8.175 alpha=28.40 beta=28.40 gamma=28.40
Sites, in units of the cell vectors:
La: 0.234 0.234 0.234
La: 0.766 0.766 0.766
Fe: 0.500 0.500 0.500
Ag: 0.000 0.000 0.000


[6]
Material: TbUB4
Method: DFT, PBE-GGA
State: relaxed

Calculated values
Offset from the most stable computed form (meV/atom): 641
Calculated formation energy (kcal/mol of atoms): 9.223
VASP energy (Ry per atom): -0.4928

Unit cell a=4.744 b=4.744 c=4.744 alpha=60.00 beta=60.00 gamma=60.00
Sites, in units of the cell vectors:
Tb: 0.000 0.000 0.000
U: 0.750 0.750 0.750
B: 0.407 0.407 0.407
B: 0.407 0.407 0.778
B: 0.407 0.778 0.407
B: 0.778 0.407 0.407